# Zr2BHSe

Zr2BHSe after structural relaxation (GGA-PBEsol, Alexandria).

Its electronic total energy is -33.4 eV per cell. The total magnetization comes out at 0.00 μB per atom.

Cell: 3.2661 4.6956 4.6956 Å, 90.00 90.00 90.00°
Sites, in units of the cell vectors:
H: 0.5000 0.0000 0.0000
B: 0.0000 0.0000 0.0000
Se: 0.5000 0.5000 0.5000
Zr: 0.0000 0.0000 0.5000
Zr: 0.0000 0.5000 0.0000

---

# ZrI2Cl

ZrI2Cl after structural relaxation (GGA-PBEsol, Alexandria).

Its electronic total energy is -16.6 eV per cell. The total magnetization comes out at 0.24 μB per atom.

Cell: 5.1619 5.1619 5.1619 Å, 60.00 60.00 60.00°
Last column: magnetic moment on the atom in μB.
Sites, in units of the cell vectors:
I: 0.2500 0.2500 0.2500  -0.04
I: 0.7500 0.7500 0.7500  -0.04
Zr: 0.5000 0.5000 0.5000  0.69
Cl: 0.0000 0.0000 0.0000  -0.01

---

# RbTi3F

RbTi3F after structural relaxation (GGA-PBEsol, Alexandria).

Its electronic total energy is -17.6 eV per cell. The value obtained for the relative energy among the computed polymorphs is 1.621 eV per atom. The total magnetization comes out at 0.62 μB per atom.

Cell: 4.7062 4.7062 4.7062 Å, 90.00 90.00 90.00°
Last column: magnetic moment on the atom in μB.
Sites, in units of the cell vectors:
F: 0.5000 0.5000 0.5000  0.10
Rb: 0.0000 0.0000 0.0000  0.09
Ti: 0.0000 0.5000 0.0000  0.76
Ti: 0.0000 0.0000 0.5000  0.76
Ti: 0.5000 0.0000 0.0000  0.76

---

# BeP2ClF

BeP2ClF after structural relaxation (GGA-PBEsol, Alexandria).

Its electronic total energy is -15.8 eV per cell. The total magnetization comes out at 0.00 μB per atom.

Cell: 3.9664 3.9664 5.3468 Å, 90.00 90.00 90.00°
Sites, in units of the cell vectors:
P: 0.0000 0.5000 0.0000
P: 0.5000 0.0000 0.0000
F: 0.0000 0.0000 0.0000
Be: 0.5000 0.5000 0.5000
Cl: 0.0000 0.0000 0.5000

---

# Rb2MgBi

Rb2MgBi after structural relaxation (GGA-PBEsol, Alexandria).

Its electronic total energy is -14.8 eV per cell. The value obtained for the relative energy among the computed polymorphs is 0.146 eV per atom. The total magnetization comes out at 0.00 μB per atom. As for the formation enthalpy at 0 K: 160 meV per atom.

Cell: 5.0192 5.0192 13.1981 Å, 100.96 100.96 90.00°
Sites, in units of the cell vectors:
Mg: 0.7500 0.2500 0.5000
Mg: 0.5000 0.5000 0.0000
Bi: 0.2500 0.7500 0.5000
Bi: 0.0000 0.0000 0.0000
Rb: 0.8762 0.3750 0.2500
Rb: 0.3738 0.8750 0.2500
Rb: 0.6250 0.6262 0.7500
Rb: 0.1250 0.1238 0.7500

---

# CdMoAs2

CdMoAs2 after structural relaxation (GGA-PBEsol, Alexandria).

Its electronic total energy is -22.1 eV per cell. The total magnetization comes out at 0.00 μB per atom. As for the formation enthalpy at 0 K: 274 meV per atom.

Cell: 2.8350 2.8350 9.7117 Å, 90.00 90.00 107.03°
Sites, in units of the cell vectors:
Mo: 0.5000 0.5000 0.2414
As: 0.0000 0.0000 0.0464
As: 0.5000 0.5000 0.7277
Cd: 0.0000 0.0000 0.4846

---

# MgCuAu2

MgCuAu2 after structural relaxation (GGA-PBEsol, Alexandria).

Its electronic total energy is -15.2 eV per cell. The total magnetization comes out at 0.00 μB per atom. As for the formation enthalpy at 0 K: -331 meV per atom.

Cell: 3.9037 3.9037 4.9186 Å, 113.38 113.38 90.00°
Sites, in units of the cell vectors:
Mg: 0.2500 0.7500 0.5000
Au: 0.5000 0.5000 0.0000
Au: 0.7500 0.2500 0.5000
Cu: 0.0000 0.0000 0.0000

---

# MgTa3

MgTa3 after structural relaxation (GGA-PBEsol, Alexandria).

Its electronic total energy is -38.1 eV per cell. The value obtained for the relative energy among the computed polymorphs is 0.000 eV per atom. The total magnetization comes out at 0.00 μB per atom. As for the formation enthalpy at 0 K: 314 meV per atom.

Cell: 2.8108 5.2968 5.2968 Å, 113.52 90.00 90.00°
Sites, in units of the cell vectors:
Mg: 0.0000 0.0000 0.0000
Ta: 0.5000 0.0000 0.5000
Ta: 0.5000 0.5000 0.0000
Ta: 0.0000 0.5000 0.5000

---

Q: electronic total energy of number 2 (ZrI2Cl)?
A: -16.6 eV per cell

---

Q: Which value of electronic total energy does entry 5 give?
A: -14.8 eV per cell

---

Q: Number 4 is which compound?
A: BeP2ClF

---

Copy entry 4 word for word.
# BeP2ClF

BeP2ClF after structural relaxation (GGA-PBEsol, Alexandria).

Its electronic total energy is -15.8 eV per cell. The total magnetization comes out at 0.00 μB per atom.

Cell: 3.9664 3.9664 5.3468 Å, 90.00 90.00 90.00°
Sites, in units of the cell vectors:
P: 0.0000 0.5000 0.0000
P: 0.5000 0.0000 0.0000
F: 0.0000 0.0000 0.0000
Be: 0.5000 0.5000 0.5000
Cl: 0.0000 0.0000 0.5000